1.
Below is a PBEsol-optimized structure of CsBeRu3, with properties calculated at the SCAN level.

abc: 4.768 4.768 4.768
angles: 90.00 90.00 90.00
Fractional positions:
Cs: 0.000 0.000 0.000
Be: 0.500 0.500 0.500
Ru: 0.000 0.000 0.500
Ru: 0.000 0.500 0.000
Ru: 0.500 0.000 0.000

Results
N(E_F): 1.205 states/eV per atom
E_form: 3293 meV/atom
relative energy among the computed polymorphs: 9.07 eV per formula unit


2.
Below is a PBEsol-optimized structure of TcTeO2F, with properties calculated at the SCAN level.

abc: 3.654 3.654 6.341
angles: 90.00 90.00 90.00
Fractional positions:
Tc: 0.000 0.000 0.000
Te: 0.500 0.500 0.500
O: 0.000 0.500 0.000
O: 0.500 0.000 0.000
F: 0.000 0.000 0.500

Results
N(E_F): 0.315 states/eV per atom
formation energy from raw total energies: -3.847 eV per formula unit


3.
Below is a PBEsol-optimized structure of Ca2ZnNi, with properties calculated at the SCAN level.

abc: 3.515 4.844 5.909
angles: 114.20 107.30 90.00
Fractional positions:
Ni: 0.538 0.538 0.076
Zn: 0.195 0.695 0.390
Ca: 0.986 0.986 0.972
Ca: 0.781 0.281 0.563

Results
N(E_F): 0.645 states/eV per atom
E_form: -71 meV/atom


4.
Below is a PBEsol-optimized structure of Ba3Fe3O8, with properties calculated at the SCAN level.

abc: 5.592 5.672 13.616
angles: 90.00 90.00 119.54
Fractional positions:
Fe: 0.018 0.037 0.763
Fe: 0.339 0.677 0.091
Fe: 0.018 0.037 0.237
Fe: 0.339 0.677 0.909
Fe: 0.643 0.287 0.413
Fe: 0.643 0.287 0.587
Ba: 0.666 0.333 0.154
Ba: 0.000 0.000 0.500
Ba: 0.666 0.333 0.846
Ba: 0.001 0.003 0.000
Ba: 0.330 0.659 0.661
Ba: 0.330 0.659 0.339
O: 0.340 0.172 0.332
O: 0.950 0.464 0.500
O: 0.489 0.536 0.000
O: 0.666 0.829 0.173
O: 0.514 0.464 0.500
O: 0.487 0.974 0.000
O: 0.832 0.172 0.332
O: 0.179 0.357 0.835
O: 0.163 0.829 0.827
O: 0.832 0.172 0.668
O: 0.485 0.970 0.500
O: 0.179 0.357 0.165
O: 0.666 0.829 0.827
O: 0.047 0.536 0.000
O: 0.340 0.172 0.668
O: 0.163 0.829 0.173

Results
N(E_F): 0.121 states/eV per atom
formation energy from raw total energies: -31.420 eV per formula unit


5.
Below is a PBEsol-optimized structure of KSb3Pt, with properties calculated at the SCAN level.

abc: 5.344 5.344 5.344
angles: 90.00 90.00 90.00
Fractional positions:
Pt: 0.000 0.000 0.000
Sb: 0.000 0.500 0.000
Sb: 0.000 0.000 0.500
Sb: 0.500 0.000 0.000
K: 0.500 0.500 0.500

Results
N(E_F): 0.722 states/eV per atom
formation energy from raw total energies: 0.268 eV per formula unit


6.
Below is a PBEsol-optimized structure of MnCr2P, with properties calculated at the SCAN level.

abc: 2.864 3.740 4.581
angles: 114.09 108.21 90.00
Fractional positions:
Cr: 0.745 0.745 0.490
Cr: 0.255 0.255 0.510
Mn: 0.500 0.000 0.000
P: 0.000 0.500 0.000

Results
N(E_F): 0.587 states/eV per atom
E_form: -212 meV/atom


Number 1: DFT total energy -0.957 Ha/atom. Number 2: DFT total energy -0.677 Ha/atom. Number 3: DFT total energy -0.453 Ha/atom. Number 4: DFT total energy -0.668 Ha/atom. Number 5: DFT total energy -1.397 Ha/atom. Number 6: DFT total energy -0.609 Ha/atom.